Record 1
A plane-wave DFT calculation with PBE was carried out for crystalline RbBaTiSe3 at its relaxed geometry.

Unit cell a=9.168 b=9.168 c=9.420 alpha=105.80 beta=105.80 gamma=32.05
Sites, in units of the cell vectors:
Rb1 0.138 0.138 0.068
Rb2 0.862 0.862 0.932
Ba1 0.161 0.161 0.587
Ba2 0.839 0.839 0.413
Ti1 0.499 0.499 0.325
Ti2 0.501 0.501 0.675
Se1 0.002 0.002 0.307
Se2 0.354 0.354 0.659
Se3 0.356 0.356 0.192
Se4 0.644 0.644 0.808
Se5 0.646 0.646 0.341
Se6 0.998 0.998 0.693

Computed properties:
- mass density (g/cm3) = 4.18
- energy relative to the elements, uncorrected (eV per atom) = -1.3127
- space-group type = C2/m, No. 12
- VASP energy (eV per atom) = -4.85

Record 2
A plane-wave DFT calculation with PBE was carried out for crystalline RbBaTlSe3 at its relaxed geometry.

Unit cell a=9.245 b=9.245 c=9.241 alpha=103.22 beta=103.22 gamma=35.41
Sites, in units of the cell vectors:
Rb1 0.149 0.149 0.065
Rb2 0.851 0.851 0.935
Ba1 0.146 0.146 0.569
Ba2 0.854 0.854 0.431
Tl1 0.494 0.494 0.738
Tl2 0.506 0.506 0.262
Se1 0.002 0.002 0.266
Se2 0.338 0.338 0.658
Se3 0.352 0.352 0.209
Se4 0.648 0.648 0.791
Se5 0.662 0.662 0.342
Se6 0.998 0.998 0.734

Computed properties:
- mass density (g/cm3) = 4.96
- energy relative to the elements, uncorrected (eV per atom) = -0.9803
- space-group type = C2/m, No. 12
- VASP energy (eV per atom) = -3.60

Record 3
A plane-wave DFT calculation with PBE was carried out for crystalline Rb2BaU3Se8 at its relaxed geometry.

Unit cell a=9.476 b=9.476 c=9.476 alpha=54.34 beta=54.34 gamma=54.34
Sites, in units of the cell vectors:
Rb1 0.000 0.000 0.000
Rb2 0.365 0.365 0.365
Ba1 0.740 0.740 0.740
U1 0.365 0.365 0.869
U2 0.365 0.869 0.365
U3 0.869 0.365 0.365
Se1 0.109 0.109 0.563
Se2 0.109 0.563 0.109
Se3 0.138 0.138 0.138
Se4 0.167 0.621 0.621
Se5 0.563 0.109 0.109
Se6 0.599 0.599 0.599
Se7 0.621 0.167 0.621
Se8 0.621 0.621 0.167

Computed properties:
- mass density (g/cm3) = 5.26
- energy relative to the elements, uncorrected (eV per atom) = -1.2689
- space-group type = R3m, No. 160
- VASP energy (eV per atom) = -5.95

Record 4
A plane-wave DFT calculation with PBE was carried out for crystalline Rb3Ba2USe6 at its relaxed geometry.

Unit cell a=8.000 b=8.000 c=8.390 alpha=99.29 beta=99.29 gamma=119.91
Sites, in units of the cell vectors:
Rb1 0.000 0.000 0.000
Rb2 0.330 0.670 0.000
Rb3 0.670 0.330 0.000
Ba1 0.166 0.834 0.500
Ba2 0.834 0.166 0.500
U1 0.500 0.500 0.500
Se1 0.144 0.432 0.297
Se2 0.282 0.282 0.702
Se3 0.432 0.144 0.297
Se4 0.568 0.856 0.703
Se5 0.718 0.718 0.298
Se6 0.856 0.568 0.703

Computed properties:
- mass density (g/cm3) = 4.68
- energy relative to the elements, uncorrected (eV per atom) = -1.5298
- space-group type = C2/m, No. 12
- VASP energy (eV per atom) = -4.78

Record 5
A plane-wave DFT calculation with PBE was carried out for crystalline RbBa2U3Se8 at its relaxed geometry.

Unit cell a=9.317 b=9.317 c=9.317 alpha=56.10 beta=56.10 gamma=56.10
Sites, in units of the cell vectors:
Rb1 0.000 0.000 0.000
Ba1 0.260 0.260 0.260
Ba2 0.635 0.635 0.635
U1 0.129 0.634 0.634
U2 0.634 0.129 0.634
U3 0.634 0.634 0.129
Se1 0.384 0.384 0.833
Se2 0.384 0.833 0.384
Se3 0.401 0.401 0.401
Se4 0.436 0.884 0.884
Se5 0.833 0.384 0.384
Se6 0.861 0.861 0.861
Se7 0.884 0.436 0.884
Se8 0.884 0.884 0.436

Computed properties:
- mass density (g/cm3) = 5.45
- energy relative to the elements, uncorrected (eV per atom) = -1.3736
- space-group type = R3m, No. 160
- VASP energy (eV per atom) = -6.13

Record 6
A plane-wave DFT calculation with PBE was carried out for crystalline RbBa2USe6 at its relaxed geometry.

Unit cell a=7.818 b=8.540 c=12.642 alpha=90.00 beta=122.62 gamma=90.00
Sites, in units of the cell vectors:
Rb1 0.000 0.000 0.000
Rb2 0.000 0.500 0.500
Ba1 0.193 0.086 0.731
Ba2 0.193 0.414 0.231
Ba3 0.807 0.586 0.769
Ba4 0.807 0.914 0.269
U1 0.500 0.000 0.500
U2 0.500 0.500 0.000
Se1 0.170 0.168 0.448
Se2 0.170 0.332 0.948
Se3 0.265 0.740 0.405
Se4 0.265 0.760 0.905
Se5 0.437 0.079 0.278
Se6 0.437 0.421 0.778
Se7 0.563 0.579 0.222
Se8 0.563 0.921 0.722
Se9 0.735 0.240 0.095
Se10 0.735 0.260 0.595
Se11 0.830 0.668 0.052
Se12 0.830 0.832 0.552

Computed properties:
- mass density (g/cm3) = 5.01
- energy relative to the elements, uncorrected (eV per atom) = -1.3536
- space-group type = P2_1/c, No. 14
- VASP energy (eV per atom) = -5.05

Record 7
A plane-wave DFT calculation with PBE was carried out for crystalline Rb2Ba2USe6 at its relaxed geometry.

Unit cell a=7.846 b=7.846 c=8.462 alpha=99.45 beta=99.45 gamma=117.94
Sites, in units of the cell vectors:
Rb1 0.174 0.826 0.000
Rb2 0.826 0.174 0.000
Ba1 0.336 0.664 0.500
Ba2 0.664 0.336 0.500
U1 0.000 0.000 0.500
Se1 0.064 0.349 0.697
Se2 0.207 0.207 0.302
Se3 0.349 0.064 0.697
Se4 0.651 0.936 0.303
Se5 0.793 0.793 0.698
Se6 0.936 0.651 0.303

Computed properties:
- mass density (g/cm3) = 4.41
- energy relative to the elements, uncorrected (eV per atom) = -1.4726
- space-group type = C2/m, No. 12
- VASP energy (eV per atom) = -4.93

Record 8
A plane-wave DFT calculation with PBE was carried out for crystalline Rb2BaU2Se7 at its relaxed geometry.

Unit cell a=14.755 b=14.755 c=14.755 alpha=158.29 beta=30.89 gamma=158.28
Sites, in units of the cell vectors:
Rb1 0.250 0.000 0.250
Rb2 0.750 0.000 0.750
Ba1 0.475 0.475 0.000
U1 0.093 0.497 0.595
U2 0.902 0.497 0.405
Se1 0.013 0.513 0.500
Se2 0.083 0.996 0.087
Se3 0.188 0.500 0.688
Se4 0.412 0.999 0.413
Se5 0.586 0.999 0.587
Se6 0.812 0.500 0.312
Se7 0.909 0.996 0.913

Computed properties:
- mass density (g/cm3) = 5.05
- energy relative to the elements, uncorrected (eV per atom) = -1.2284
- space-group type = Imm2, No. 44
- VASP energy (eV per atom) = -5.46

Look up the VASP energy of the eighth one.
-5.46 eV per atom

Among the records above, which one has the lowest VASP energy?
RbBa2U3Se8

Among the records above, which one has the highest mass density?
RbBa2U3Se8